The following is a DFT calculation (GGA-PBE) of a relaxed structure of Nb3Cu.

The density of states at the Fermi level is 3.26 states/eV/f.u. Its crystal system is orthorhombic. The calculation puts the total energy at -8.22 eV/atom. The total magnetization is 0.0000 μB/atom. For the formation energy, the calculation gives 0.353 eV per atom.

The structure belongs to space group Pmm2 (No. 25); the cell edges are 2.7342, 2.7472 and 9.4141 Å and the angles 90.00°, 90.00° and 90.00°. The asymmetric unit holds Nb at (0.0000, 0.0000, 0.0000), Nb at (0.0000, 0.5000, 0.2805), Nb at (0.5000, 0.5000, 0.7446) and Cu at (0.5000, 0.0000, 0.4919).

The following is a DFT calculation (GGA-PBE) of a relaxed structure of Nb3Cu.

The density of states at the Fermi level is 5.03 states/eV/f.u. Its crystal system is cubic. The calculation puts the total energy at -8.45 eV/atom. The total magnetization is 0.0000 μB/atom. For the formation energy, the calculation gives 0.126 eV per atom.

The structure belongs to space group Pm-3m (No. 221); the cell edges are 4.0712, 4.0712 and 4.0712 Å and the angles 90.00°, 90.00° and 90.00°. The asymmetric unit holds Nb at (0.0000, 0.0000, 0.5000) and Cu at (0.5000, 0.5000, 0.5000).

The following is a DFT calculation (GGA-PBE) of a relaxed structure of Nb5Cu.

The density of states at the Fermi level is 6.09 states/eV/f.u. Its crystal system is tetragonal. The calculation puts the total energy at -9.05 eV/atom. The total magnetization is 0.0000 μB/atom. For the formation energy, the calculation gives 0.027 eV per atom.

The structure belongs to space group P4/mmm (No. 123); the cell edges are 3.3483, 3.3483 and 9.2735 Å and the angles 90.00°, 90.00° and 90.00°. The asymmetric unit holds Nb at (0.0000, 0.0000, 0.0000), Nb at (0.0000, 0.0000, 0.3462), Nb at (0.5000, 0.5000, 0.1767) and Cu at (0.5000, 0.5000, 0.5000).